Entry 1:
The following is a DFT calculation (PBE-GGA) of a relaxed TcHgF6 crystal.

Properties
size of the total moment = 0.375 μB per atom
uncorrected formation energy = -1.837 eV per atom
crystal system = monoclinic

a b c (Å): 5.0841 5.0841 5.3963
angles (deg): 96.41 96.41 113.26
Closest atoms and distances in Å follow each position.
Sites, in units of the cell vectors:
Tc 0.0000 0.0000 0.0000  6 F 1.96-1.97
Hg 0.5000 0.5000 0.5000  6 F 2.32-2.39
F 0.0394 0.3439 0.2348  1 Tc 1.97
F 0.2575 0.2575 0.8019  1 Tc 1.96
F 0.3439 0.0394 0.2348  1 Tc 1.97
F 0.6561 0.9606 0.7652  1 Tc 1.97
F 0.7425 0.7425 0.1981  1 Tc 1.96
F 0.9606 0.6561 0.7652  1 Tc 1.97



Entry 2:
The following is a DFT calculation (PBE-GGA) of a relaxed TcHg12F7 crystal.

Properties
DOS at the Fermi energy = 1.48 states/eV per cell
size of the total moment = 0.153 μB per atom
uncorrected formation energy = -0.867 eV per atom
crystal system = triclinic

a b c (Å): 4.0771 10.6463 11.7275
angles (deg): 80.14 89.94 79.11
Closest atoms and distances in Å follow each position.
Sites, in units of the cell vectors:
Tc 0.0000 0.0000 0.0000  6 F 1.95-2.04
Hg 0.1318 0.7321 0.5407  7 Hg 3.06-3.28
Hg 0.2494 0.5031 0.3817  2 F 2.84-2.89
Hg 0.2875 0.3976 0.8704  1 F 2.33
Hg 0.3125 0.3806 0.1183  4 Hg 2.83-3.13
Hg 0.4361 0.1122 0.6252  1 F 2.40
Hg 0.4429 0.1538 0.2892  2 Hg 2.79-2.83, 2 F 3.02-3.11
Hg 0.5571 0.8462 0.7108  2 Hg 2.79-2.83, 2 F 3.02-3.11
Hg 0.5639 0.8878 0.3748  1 F 2.40
Hg 0.6875 0.6194 0.8817  4 Hg 2.83-3.13
Hg 0.7125 0.6024 0.1296  1 F 2.33
Hg 0.7506 0.4969 0.6183  2 F 2.84-2.89
Hg 0.8682 0.2679 0.4593  7 Hg 3.06-3.28
F 0.0012 0.9926 0.8348  1 Tc 1.95
F 0.0940 0.8101 0.0332  1 Tc 1.95
F 0.3498 0.3110 0.7006  2 Hg 2.33-2.40
F 0.5000 0.0000 0.0000  2 Tc 2.04
F 0.6502 0.6890 0.2994  2 Hg 2.33-2.40
F 0.9060 0.1899 0.9668  1 Tc 1.95
F 0.9988 0.0074 0.1652  1 Tc 1.95



Entry 3:
The following is a DFT calculation (PBE-GGA) of a relaxed TcHgF3 crystal.

Properties
DOS at the Fermi energy = 0.94 states/eV per cell
offset from the most stable computed form = 0 kJ/mol of formula units
size of the total moment = 0.207 μB per atom
uncorrected formation energy = -1.275 eV per atom
crystal system = orthorhombic

a b c (Å): 6.1449 6.1449 6.1449
angles (deg): 114.32 110.79 103.49
Closest atoms and distances in Å follow each position.
Sites, in units of the cell vectors:
Tc 0.0000 0.1696 0.1696  4 F 1.94-2.15
Tc 0.0000 0.8304 0.8304  4 F 1.94-2.15
Hg 0.2397 0.7397 0.5000  4 F 2.86, 2 Tc 2.86
Hg 0.7603 0.2603 0.5000  4 F 2.86, 2 Tc 2.86
F 0.2397 0.2397 0.0000  2 Tc 2.15
F 0.2769 0.2024 0.4793  1 Tc 1.94
F 0.2769 0.7976 0.0745  1 Tc 1.94
F 0.7231 0.2024 0.9255  1 Tc 1.94
F 0.7231 0.7976 0.5207  1 Tc 1.94
F 0.7603 0.7603 0.0000  2 Tc 2.15



Entry 4:
The following is a DFT calculation (PBE-GGA) of a relaxed TcHgF crystal.

Properties
DOS at the Fermi energy = 3.51 states/eV per cell
offset from the most stable computed form = 26 kJ/mol of formula units
size of the total moment = 0.036 μB per atom
uncorrected formation energy = -0.517 eV per atom
crystal system = triclinic

a b c (Å): 2.8618 5.5153 7.7054
angles (deg): 73.82 79.44 90.00
Closest atoms and distances in Å follow each position.
Sites, in units of the cell vectors:
Tc 0.0000 0.0000 0.0000  2 F 1.96-2.01, 1 Tc 2.17
Tc 0.0522 0.4086 0.8898  1 Tc 2.17, 1 F 2.34
Hg 0.3927 0.4441 0.2116  4 Hg 2.86-2.99, 2 Tc 2.88, 4 F 3.07-3.20
Hg 0.7160 0.4193 0.5624  2 Tc 2.85, 4 Hg 2.86-2.99, 1 F 3.08
F 0.1052 0.8509 0.7868  1 Tc 2.01
F 0.8683 0.9353 0.2675  1 Tc 1.96



Entry 5:
The following is a DFT calculation (PBE-GGA) of a relaxed TcHg3F crystal.

Properties
DOS at the Fermi energy = 4.46 states/eV per cell
offset from the most stable computed form = 101 kJ/mol of formula units
size of the total moment = 0.401 μB per atom
uncorrected formation energy = 0.607 eV per atom
crystal system = cubic

a b c (Å): 4.7299 4.7299 4.7299
angles (deg): 90.00 90.00 90.00
Closest atoms and distances in Å follow each position.
Sites, in units of the cell vectors:
Tc 0.0000 0.0000 0.0000  12 Hg 3.34
Hg 0.0000 0.5000 0.5000  2 F 2.36
Hg 0.5000 0.0000 0.5000  2 F 2.36
Hg 0.5000 0.5000 0.0000  2 F 2.36
F 0.5000 0.5000 0.5000  6 Hg 2.36



Entry 6:
The following is a DFT calculation (PBE-GGA) of a relaxed TcHgF3 crystal.

Properties
DOS at the Fermi energy = 1.30 states/eV per cell
offset from the most stable computed form = 41 kJ/mol of formula units
size of the total moment = 0.803 μB per atom
uncorrected formation energy = -1.190 eV per atom
crystal system = cubic

a b c (Å): 4.3461 4.3461 4.3461
angles (deg): 90.00 90.00 90.00
Closest atoms and distances in Å follow each position.
Sites, in units of the cell vectors:
Tc 0.0000 0.0000 0.0000  6 F 2.17
Hg 0.5000 0.5000 0.5000  12 F 3.07
F 0.0000 0.0000 0.5000  2 Tc 2.17
F 0.0000 0.5000 0.0000  2 Tc 2.17
F 0.5000 0.0000 0.0000  2 Tc 2.17



Entry 7:
The following is a DFT calculation (PBE-GGA) of a relaxed TcHgF3 crystal.

Properties
DOS at the Fermi energy = 5.68 states/eV per cell
offset from the most stable computed form = 433 kJ/mol of formula units
size of the total moment = 0.937 μB per atom
uncorrected formation energy = -0.377 eV per atom
crystal system = cubic

a b c (Å): 4.5629 4.5629 4.5629
angles (deg): 90.00 90.00 90.00
Closest atoms and distances in Å follow each position.
Sites, in units of the cell vectors:
Tc 0.0000 0.0000 0.0000  12 F 3.23
Hg 0.5000 0.5000 0.5000  6 F 2.28
F 0.0000 0.5000 0.5000  2 Hg 2.28
F 0.5000 0.0000 0.5000  2 Hg 2.28
F 0.5000 0.5000 0.0000  2 Hg 2.28



Entry 8:
The following is a DFT calculation (PBE-GGA) of a relaxed TcHgF crystal.

Properties
DOS at the Fermi energy = 2.41 states/eV per cell
offset from the most stable computed form = 0 kJ/mol of formula units
size of the total moment = 0.000 μB per atom
uncorrected formation energy = -0.606 eV per atom
crystal system = triclinic

a b c (Å): 3.2692 5.3263 8.4194
angles (deg): 81.63 79.62 72.78
Closest atoms and distances in Å follow each position.
Sites, in units of the cell vectors:
Tc 0.1807 0.1578 0.4822  2 F 2.08-2.22, 2 Tc 2.28-2.30
Tc 0.8193 0.8422 0.5178  2 F 2.08-2.22, 2 Tc 2.28-2.30
Hg 0.3926 0.0502 0.1615  1 Tc 2.76, 1 Hg 2.77
Hg 0.6074 0.9498 0.8385  1 Tc 2.76, 1 Hg 2.77
F 0.0313 0.5600 0.3521  2 Tc 2.08-2.22
F 0.9687 0.4400 0.6479  2 Tc 2.08-2.22



Entry 9:
The following is a DFT calculation (PBE-GGA) of a relaxed TcHgF5 crystal.

Properties
DOS at the Fermi energy = 4.88 states/eV per cell
size of the total moment = 0.358 μB per atom
uncorrected formation energy = -1.734 eV per atom
crystal system = monoclinic

a b c (Å): 6.0636 6.0636 7.3751
angles (deg): 103.18 103.18 88.52
Closest atoms and distances in Å follow each position.
Sites, in units of the cell vectors:
Tc 0.0000 0.0000 0.0000  6 F 1.91-2.02
Tc 0.0000 0.0000 0.5000  6 F 1.91-2.02
Hg 0.4893 0.5107 0.7500  2 F 2.62
Hg 0.5107 0.4893 0.2500  2 F 2.62
F 0.0836 0.7064 0.8798  1 Tc 1.91
F 0.0977 0.9023 0.2500  2 Tc 2.02
F 0.1175 0.2996 0.5327  1 Tc 1.91
F 0.2936 0.9164 0.6202  1 Tc 1.91
F 0.2996 0.1175 0.0327  1 Tc 1.91
F 0.7004 0.8825 0.9673  1 Tc 1.91
F 0.7064 0.0836 0.3798  1 Tc 1.91
F 0.8825 0.7004 0.4673  1 Tc 1.91
F 0.9023 0.0977 0.7500  2 Tc 2.02
F 0.9164 0.2936 0.1202  1 Tc 1.91



Entry 10:
The following is a DFT calculation (PBE-GGA) of a relaxed TcHg2F8 crystal.

Properties
DOS at the Fermi energy = 0.06 states/eV per cell
size of the total moment = 0.273 μB per atom
uncorrected formation energy = -1.668 eV per atom
crystal system = monoclinic

a b c (Å): 7.8797 7.8797 5.6753
angles (deg): 102.58 102.58 37.53
Closest atoms and distances in Å follow each position.
Sites, in units of the cell vectors:
Tc 0.0000 0.0000 0.0000  6 F 1.94-2.00
Hg 0.1688 0.1688 0.5563  2 F 2.15-2.21
Hg 0.8312 0.8312 0.4437  2 F 2.15-2.21
F 0.1184 0.1184 0.8931  1 Tc 2.00, 1 Hg 2.21
F 0.1949 0.6975 0.7462  1 Tc 1.94
F 0.2823 0.2823 0.3819  1 Hg 2.15
F 0.3025 0.8051 0.2538  1 Tc 1.94
F 0.6975 0.1949 0.7462  1 Tc 1.94
F 0.7177 0.7177 0.6181  1 Hg 2.15
F 0.8051 0.3025 0.2538  1 Tc 1.94
F 0.8816 0.8816 0.1069  1 Tc 2.00, 1 Hg 2.21